Record 1
Entry from Alexandria via LeMat-Bulk: a relaxed structure of LiPr2Pa2O8 (PBE).

Properties
Space-group type: C2 (5)
ΔE_f (raw) (eV per formula unit): -41.3
Raw total energy (eV/cell): -111.47

Lattice parameters (Å, degrees): 5.912 5.912 6.701 70.76 70.76 104.24
Fractional coordinates of all 13 atoms:
Li: 0.549 0.451 0.500
Pr: 0.003 0.997 0.000
Pr: 0.829 0.171 0.500
Pa: 0.570 0.430 0.000
Pa: 0.235 0.765 0.500
O: 0.973 0.626 0.325
O: 0.886 0.816 0.751
O: 0.502 0.616 0.238
O: 0.648 0.105 0.237
O: 0.374 0.027 0.675
O: 0.384 0.498 0.762
O: 0.184 0.114 0.249
O: 0.895 0.352 0.763

=====

Record 2
Entry from Alexandria via LeMat-Bulk: a relaxed structure of LiPrPa2O8 (PBE).

Properties
Space-group type: P-3 (147)
ΔE_f (raw) (eV per formula unit): -31.6
Raw total energy (eV/cell): -96.93

Lattice parameters (Å, degrees): 5.651 5.651 5.795 90.00 90.00 120.00
Fractional coordinates of all 12 atoms:
Li: 0.000 0.000 0.000
Pr: 0.000 0.000 0.500
Pa: 0.667 0.333 0.098
Pa: 0.333 0.667 0.902
O: 0.940 0.662 0.826
O: 0.338 0.278 0.826
O: 0.722 0.060 0.826
O: 0.060 0.338 0.174
O: 0.662 0.722 0.174
O: 0.278 0.940 0.174
O: 0.667 0.333 0.439
O: 0.333 0.667 0.561

=====

Record 3
Entry from Alexandria via LeMat-Bulk: a relaxed structure of Li4PaPt3O12 (PBE).

Properties
Space-group type: Im-3 (204)
ΔE_f (raw) (eV per formula unit): -22.3
Raw total energy (eV/cell): -117.04

Lattice parameters (Å, degrees): 6.459 6.459 6.459 109.47 109.47 109.47
Fractional coordinates of all 20 atoms:
Li: 0.500 0.000 0.000
Li: 0.500 0.500 0.500
Li: 0.000 0.500 0.000
Li: 0.000 0.000 0.500
Pa: 0.000 0.000 0.000
Pt: 0.000 0.500 0.500
Pt: 0.500 0.500 0.000
Pt: 0.500 0.000 0.500
O: 0.299 0.836 0.135
O: 0.701 0.164 0.865
O: 0.701 0.836 0.537
O: 0.865 0.701 0.164
O: 0.836 0.135 0.299
O: 0.164 0.463 0.299
O: 0.463 0.299 0.164
O: 0.164 0.865 0.701
O: 0.299 0.164 0.463
O: 0.135 0.299 0.836
O: 0.836 0.537 0.701
O: 0.537 0.701 0.836

=====

Record 4
Entry from Alexandria via LeMat-Bulk: a relaxed structure of LiPaPtO4 (PBE).

Properties
Space-group type: Imma (74)
ΔE_f (raw) (eV per formula unit): -15.5
Raw total energy (eV/cell): -105.53

Lattice parameters (Å, degrees): 6.048 6.748 6.750 120.01 90.00 116.62
Fractional coordinates of all 14 atoms:
Li: 0.845 0.690 0.095
Li: 0.155 0.310 0.905
Pa: 0.500 0.000 0.500
Pa: 0.500 0.000 0.000
Pt: 0.500 0.500 0.500
Pt: 0.000 0.500 0.500
O: 0.727 0.454 0.681
O: 0.235 0.903 0.201
O: 0.668 0.903 0.201
O: 0.727 0.454 0.273
O: 0.273 0.546 0.727
O: 0.765 0.097 0.799
O: 0.332 0.097 0.799
O: 0.273 0.546 0.319

=====

Record 5
Entry from Alexandria via LeMat-Bulk: a relaxed structure of Li2PaPtO8 (PBE).

Properties
Space-group type: P2/m (10)
ΔE_f (raw) (eV per formula unit): -17.9
Raw total energy (eV/cell): -76.90

Lattice parameters (Å, degrees): 4.575 4.756 6.681 90.00 90.00 85.68
Fractional coordinates of all 12 atoms:
Li: 0.500 0.500 0.716
Li: 0.500 0.500 0.284
Pa: 0.000 0.000 0.500
Pt: 0.000 0.000 0.000
O: 0.138 0.752 0.220
O: 0.594 0.877 0.000
O: 0.862 0.248 0.220
O: 0.862 0.248 0.780
O: 0.406 0.123 0.000
O: 0.138 0.752 0.780
O: 0.674 0.743 0.500
O: 0.326 0.257 0.500

=====

Record 6
Entry from Alexandria via LeMat-Bulk: a relaxed structure of LiPaPt2O8 (PBE).

Properties
Space-group type: I-4m2 (119)
ΔE_f (raw) (eV per formula unit): -13.6
Raw total energy (eV/cell): -76.77

Lattice parameters (Å, degrees): 6.018 6.018 6.018 108.73 108.73 110.96
Fractional coordinates of all 12 atoms:
Li: 0.250 0.750 0.500
Pa: 0.000 0.000 0.000
Pt: 0.750 0.250 0.500
Pt: 0.500 0.500 0.000
O: 0.361 0.042 0.318
O: 0.286 0.461 0.175
O: 0.286 0.111 0.825
O: 0.724 0.042 0.682
O: 0.889 0.714 0.175
O: 0.958 0.276 0.318
O: 0.958 0.639 0.682
O: 0.539 0.714 0.825